Entry 1:
GdAgPbSe3 | PBE | relaxed

The structure in extended XYZ format:
```
24
Lattice="-8.1245 -3.4663 -6.2664 -0.0069 -3.6441 2.0247 -9.0982 5.0264 9.0156" Properties=species:S:1:pos:R:3 pbc="T T T"
Se -12.1948 -0.2509 1.6527
Se -12.8272 -0.2073 6.0208
Se -7.4246 -4.4903 -1.6695
Se -9.3254 -1.2664 4.1264
Se -6.0783 0.0417 6.4918
Se -5.0348 -1.8331 3.1211
Se -4.4024 -1.8768 -1.2470
Se -9.8051 2.4062 6.4433
Se -7.9043 -0.8176 0.6474
Se -11.1513 -2.1257 -1.7180
Se -15.9165 -1.6025 3.4991
Se -1.3131 -0.4815 1.2747
Pb -10.3630 -2.7736 1.4103
Pb -6.8666 0.6895 3.3635
Pb -1.9057 -3.4685 0.1883
Pb -15.3240 1.3845 4.5855
Gd -6.8959 2.7648 7.0986
Gd -10.3338 -4.8489 -2.3248
Gd -11.0885 1.1037 4.0946
Gd -6.1411 -3.1877 0.6792
Ag -3.9362 -0.6328 0.9936
Ag -8.5503 -2.0611 -1.5928
Ag -8.6794 -0.0230 6.3666
Ag -13.2935 -1.4513 3.7802
```

Computed properties:
Crystal system: orthorhombic
Energy above the most stable polymorph in this dataset in meV per atom: 5

Entry 2:
GdAgPbSe3 | PBE | relaxed

The structure in extended XYZ format:
```
12
Lattice="-7.2062 -0.0979 -0.6585 -6.0720 -3.9075 0.4839 -0.9795 2.7977 10.3019" Properties=species:S:1:pos:R:3 pbc="T T T"
Ag -7.7822 -0.0277 7.6337
Ag -6.4754 -1.1801 2.4935
Se -9.0916 -1.0274 5.5998
Se -9.4745 0.0666 9.6281
Se -4.7831 -1.2743 0.4991
Se -5.1661 -0.1803 4.5274
Se -12.7928 -1.5392 7.5678
Se -1.4648 0.3314 2.5594
Gd -0.4897 1.3989 5.1509
Gd 0.0000 0.0000 0.0000
Pb -10.3395 -2.3457 2.4427
Pb -3.9181 1.1379 7.6845
```

Computed properties:
Crystal system: orthorhombic
Energy above the most stable polymorph in this dataset in meV per atom: 9

Entry 3:
GdAgPbSe3 | PBE | relaxed

The structure in extended XYZ format:
```
12
Lattice="-0.1605 -4.9164 -7.9245 -1.2295 -7.7129 -5.0985 -7.9960 3.3896 0.3293" Properties=species:S:1:pos:R:3 pbc="T T T"
Ag -2.9483 -4.9632 -6.0266
Ag -6.4378 -4.2765 -6.6671
Gd -4.4457 -9.1615 -10.7474
Gd -4.9403 -0.0783 -1.9463
Se -3.7846 -7.2702 -8.6258
Se -5.6014 -1.9695 -4.0679
Se -7.5869 -5.8188 -8.6280
Se -3.9980 1.6948 0.1646
Se -0.6950 -6.3146 -6.5115
Se -1.7991 -3.4209 -4.0657
Pb -0.7712 -1.4210 -1.6979
Pb -8.6148 -7.8187 -10.9958
```

Computed properties:
Crystal system: monoclinic
Energy above the most stable polymorph in this dataset in meV per atom: 4

Entry 4:
SmGdAg2Pb2 | PBE | relaxed

The structure in extended XYZ format:
```
6
Lattice="-0.6077 4.7906 -0.3156 -3.8532 -2.9151 0.2708 0.1397 0.5112 7.4912" Properties=species:S:1:pos:R:3 pbc="T T T"
Sm 0.0686 0.2509 3.6765
Ag -2.6759 0.0026 5.1923
Ag -1.6646 2.3131 1.2154
Gd 0.1385 0.5070 7.4288
Pb -1.5815 2.6172 5.6711
Pb -2.7337 -0.2090 2.0916
```

Computed properties:
Total DFT energy (no corrections) in eV per atom: -4.1797
Crystal system: trigonal

Entry 5:
GdTmAg2Pb2 | PBE | relaxed

The structure in extended XYZ format:
```
6
Lattice="-2.1904 -3.5223 2.4337 -0.1256 0.0396 -4.8073 6.2566 -4.0266 -0.1966" Properties=species:S:1:pos:R:3 pbc="T T T"
Ag 3.4028 -3.8615 -2.5262
Ag -0.3688 -3.0644 -0.0156
Tm 3.0900 -1.9886 -0.0971
Pb 0.9035 -2.2530 -2.4476
Pb 3.3153 -5.4354 -0.1314
Gd 6.2099 -3.9966 -0.1951
```

Computed properties:
Total DFT energy (no corrections) in eV per atom: -4.0948
Crystal system: trigonal

Entry 6:
GdYAg2Pb2 | PBE | relaxed

The structure in extended XYZ format:
```
6
Lattice="-2.8568 1.4261 3.6107 1.0248 -4.6765 -0.5593 5.9710 0.7804 4.4159" Properties=species:S:1:pos:R:3 pbc="T T T"
Ag 3.7820 -2.1128 3.8267
Ag -0.4850 -0.4672 3.0179
Pb 3.0411 -0.0063 5.6258
Pb 1.3572 -2.4297 2.0335
Y 2.9385 0.3841 2.1732
Gd 5.9200 0.7738 4.3782
```

Computed properties:
Total DFT energy (no corrections) in eV per atom: -4.4609
Crystal system: trigonal

Entry 7:
GdY2Ag4Pb4 | PBE | relaxed

The structure in extended XYZ format:
```
11
Lattice="-0.0345 -7.6287 4.7432 -1.8503 0.0338 8.7904 -2.5100 1.6139 -8.4730" Properties=species:S:1:pos:R:3 pbc="T T T"
Ag -1.3830 -4.2977 3.3108
Ag -2.0330 -6.9170 7.9782
Ag -3.0118 -1.6834 1.7498
Ag -2.3617 0.9359 -2.9176
Pb -1.4811 -5.9682 10.6349
Pb -0.4037 -1.6267 2.8987
Pb -2.9379 -0.9675 -0.9521
Pb -1.4568 -5.0136 6.0127
Y -2.8816 -2.0027 5.1955
Y -1.5132 -3.9783 -0.1348
Gd 0.0000 0.0000 0.0000
```

Computed properties:
Total DFT energy (no corrections) in eV per atom: -4.2661
Crystal system: orthorhombic

Entry 8:
GdAgPd | PBE | relaxed

The structure in extended XYZ format:
```
3
Lattice="-0.4585 -4.6064 0.3498 -4.2054 -1.8760 0.5887 -1.9721 -2.4047 -3.4467" Properties=species:S:1:pos:R:3 pbc="T T T"
Gd -4.9770 -6.6652 -1.8812
Pd 0.0000 0.0000 0.0000
Ag -1.6590 -2.2218 -0.6271
```

Computed properties:
Formation energy in meV per atom: -474.8
Crystal system: cubic